# 1
A relaxed CsTlCl2 crystal, computed with PBE-GGA.

Output
DOS at the Fermi energy (states/eV per cell): 0.0
SG: C2/m, No. 12
Raw total energy (eV for the cell shown): -12.9

```
CsTlCl2
1.0
4.1584 -2.4002 0.0000
4.1584 2.4002 0.0000
-2.7919 0.0000 7.8153
Cs Tl Cl
1 1 2
Direct
0.0000 0.0000 0.0000 Cs
0.5000 0.5000 0.5000 Tl
0.2432 0.2432 0.7304 Cl
0.7568 0.7568 0.2696 Cl
```

---

# 2
A relaxed TmSc4Ga5 crystal, computed with PBE-GGA.

Output
DOS at the Fermi energy (states/eV per cell): 5.3
SG: P4/mmm, No. 123
Energy of formation from the pure elements (meV per atom): -585

```
TmSc4Ga5
1.0
3.3913 0.0000 0.0000
0.0000 3.3913 0.0000
0.0000 0.0000 16.9656
Tm Sc Ga
1 4 5
Direct
0.0000 0.0000 0.0000 Tm
0.0000 0.0000 0.2070 Sc
0.0000 0.0000 0.4025 Sc
0.0000 0.0000 0.5975 Sc
0.0000 0.0000 0.7930 Sc
0.5000 0.5000 0.1099 Ga
0.5000 0.5000 0.3051 Ga
0.5000 0.5000 0.5000 Ga
0.5000 0.5000 0.6949 Ga
0.5000 0.5000 0.8901 Ga
```